1.
Below is a geometry-optimized TbBe2Ru structure, with properties calculated at the GGA-PBE level.

size of the total moment: 0.00 μB/cell
E_tot: -5.522 eV per atom

```
TbBe2Ru
1.0
3.094 0.000 0.000
0.000 3.094 0.000
0.000 0.000 6.011
Ru Tb Be
1 1 2
Cartesian
1.547 1.547 0.000
1.547 1.547 3.006
0.000 0.000 4.985
0.000 0.000 1.026
```


2.
Below is a geometry-optimized TbBe2Ru structure, with properties calculated at the GGA-PBE level.

size of the total moment: 0.00 μB/cell
E_tot: -5.573 eV per atom

```
TbBe2Ru
1.0
-3.158 0.430 2.212
-1.432 -3.035 1.948
1.266 0.236 5.164
Ru Tb Be
1 1 2
Cartesian
-1.662 -1.184 4.662
0.000 0.000 0.000
-2.959 -1.960 6.365
-0.366 -0.409 2.959
```


3.
Below is a geometry-optimized BeTc4Ru structure, with properties calculated at the GGA-PBE level.

size of the total moment: 0.00 μB/cell
E_tot: -8.569 eV per atom

```
BeTc4Ru
1.0
1.712 2.397 4.079
-2.432 -0.440 4.383
2.065 -2.612 3.772
Be Tc Ru
1 4 1
Cartesian
1.009 -0.491 9.175
1.355 0.942 6.622
1.530 -1.541 6.470
-0.700 -0.464 6.773
0.506 -0.246 4.600
0.000 0.000 0.000
```


4.
Below is a geometry-optimized Be2TcRu structure, with properties calculated at the GGA-PBE level.

size of the total moment: 0.00 μB/cell
E_tot: -6.984 eV per atom

```
Be2TcRu
1.0
3.650 0.000 0.000
0.000 2.804 0.000
0.000 1.405 4.284
Ru Tc Be
1 1 2
Cartesian
0.000 1.930 1.864
1.825 3.331 3.471
0.000 1.933 4.238
1.825 0.524 1.136
```


5.
Below is a geometry-optimized BeTcRu2 structure, with properties calculated at the GGA-PBE level.

size of the total moment: 0.00 μB/cell
E_tot: -7.931 eV per atom

```
BeTcRu2
1.0
4.206 0.000 0.000
2.103 3.643 0.000
2.103 1.214 3.435
Ru Tc Be
2 1 1
Cartesian
0.000 0.000 0.000
6.310 3.643 2.576
2.103 1.214 0.859
4.206 2.429 1.717
```


6.
Below is a geometry-optimized Be2TcRu structure, with properties calculated at the GGA-PBE level.

size of the total moment: 0.00 μB/cell
E_tot: -6.917 eV per atom

```
Be2TcRu
1.0
-1.358 -4.382 -0.894
-1.278 -4.052 1.948
-3.871 -0.590 0.177
Ru Tc Be
1 1 2
Cartesian
-3.240 -4.607 0.626
-4.891 -6.688 0.914
-2.658 -8.294 1.038
-1.606 -2.379 0.321
```


7.
Below is a geometry-optimized BeTcRu2 structure, with properties calculated at the GGA-PBE level.

size of the total moment: 0.00 μB/cell
E_tot: -8.168 eV per atom

```
BeTcRu2
1.0
3.823 0.000 0.000
0.000 2.721 -0.008
0.000 2.727 5.029
Ru Tc Be
2 1 1
Cartesian
0.000 2.724 4.877
1.912 1.364 1.310
0.000 2.725 2.553
1.912 4.085 3.822
```


8.
Below is a geometry-optimized Be2Tc2Ru structure, with properties calculated at the GGA-PBE level.

size of the total moment: 0.00 μB/cell
E_tot: -7.662 eV per atom

```
Be2Tc2Ru
1.0
6.173 0.000 0.000
0.000 6.173 0.000
0.000 0.000 3.033
Ru Tc Be
2 4 4
Cartesian
0.000 0.000 0.000
3.087 3.087 0.000
1.051 4.137 1.517
4.137 5.123 1.517
5.123 2.036 1.517
2.036 1.051 1.517
2.329 5.416 0.000
5.416 3.844 0.000
3.844 0.758 0.000
0.758 2.329 0.000
```


9.
Below is a geometry-optimized BeTcRu2 structure, with properties calculated at the GGA-PBE level.

size of the total moment: 0.00 μB/cell
E_tot: -8.098 eV per atom

```
BeTcRu2
1.0
-0.918 1.214 -4.546
-4.172 -1.529 -1.800
1.422 2.284 3.967
Ru Tc Be
2 1 1
Cartesian
0.000 0.000 0.000
-2.647 0.299 -0.503
-2.545 -0.158 -3.173
-1.020 1.670 -1.876
```


10.
Below is a geometry-optimized BeTcRu2 structure, with properties calculated at the GGA-PBE level.

size of the total moment: 0.00 μB/cell
E_tot: -8.070 eV per atom

```
BeTcRu2
1.0
4.614 0.038 0.000
1.587 4.333 0.000
-3.100 -2.185 2.627
Ru Tc Be
2 1 1
Cartesian
0.000 0.000 0.000
3.100 2.185 0.000
0.793 2.166 1.314
2.307 0.019 1.314
```


11.
Below is a geometry-optimized BeTcRu2 structure, with properties calculated at the GGA-PBE level.

size of the total moment: 0.00 μB/cell
E_tot: -8.210 eV per atom

```
BeTcRu2
1.0
2.732 0.000 0.000
1.366 2.366 0.000
1.366 0.789 8.016
Be Tc Ru
1 1 2
Cartesian
4.098 2.366 8.008
2.732 1.577 4.001
1.366 0.789 6.150
1.366 0.789 1.881
```


12.
Below is a geometry-optimized BeTcRu2 structure, with properties calculated at the GGA-PBE level.

size of the total moment: 0.00 μB/cell
E_tot: -8.136 eV per atom

```
BeTcRu2
1.0
-8.215 0.116 0.622
-7.819 -2.568 0.390
-7.618 -1.367 2.826
Ru Tc Be
2 1 1
Cartesian
-0.145 -0.023 0.024
-11.681 -1.886 1.895
-5.913 -0.955 0.959
-17.739 -2.865 2.878
```


13.
Below is a geometry-optimized BeTcRu2 structure, with properties calculated at the GGA-PBE level.

size of the total moment: 0.00 μB/cell
E_tot: -8.072 eV per atom

```
BeTcRu2
1.0
8.318 -0.015 -0.009
7.878 2.668 -0.009
7.878 1.291 2.335
Ru Tc Be
2 1 1
Cartesian
0.152 0.025 0.015
6.003 0.983 0.578
11.946 1.957 1.150
18.010 2.950 1.734
```


14.
Below is a geometry-optimized BeTcRu2 structure, with properties calculated at the GGA-PBE level.

size of the total moment: 0.00 μB/cell
E_tot: -8.069 eV per atom

```
BeTcRu2
1.0
-2.593 2.961 -2.183
-2.777 0.597 -3.491
-4.005 -0.838 2.079
Ru Tc Be
2 1 1
Cartesian
-3.969 -0.820 2.041
-4.724 1.341 -1.759
-2.344 0.680 -0.899
-7.032 2.040 -2.696
```


15.
Below is a geometry-optimized Be2TcRu structure, with properties calculated at the GGA-PBE level.

size of the total moment: 0.00 μB/cell
E_tot: -6.839 eV per atom

```
Be2TcRu
1.0
0.000 2.808 2.808
2.808 0.000 2.808
2.808 2.808 0.000
Ru Tc Be
1 1 2
Cartesian
2.808 2.808 2.808
0.000 0.000 0.000
1.404 1.404 1.404
4.212 4.212 4.212
```


16.
Below is a geometry-optimized BeTcRu structure, with properties calculated at the GGA-PBE level.

size of the total moment: 0.00 μB/cell
E_tot: -8.026 eV per atom

```
BeTcRu
1.0
-0.949 3.699 -3.167
-3.985 1.128 -2.731
1.748 -1.309 4.455
Ru Tc Be
1 1 1
Cartesian
-1.704 1.667 -2.036
-3.257 3.186 -3.893
-4.908 4.802 -5.867
```


17.
Below is a geometry-optimized BeTc3Ru structure, with properties calculated at the GGA-PBE level.

size of the total moment: 0.00 μB/cell
E_tot: -8.227 eV per atom

```
BeTc3Ru
1.0
-0.433 -0.020 -4.070
1.179 -3.918 -0.106
-3.895 -1.184 0.420
Ru Tc Be
1 3 1
Cartesian
-1.574 -2.561 -1.878
0.590 -1.959 -0.053
-1.948 -0.592 0.210
-0.216 -0.010 -2.035
0.000 0.000 0.000
```


18.
Below is a geometry-optimized Be2TcRu structure, with properties calculated at the GGA-PBE level.

size of the total moment: 0.00 μB/cell
E_tot: -6.722 eV per atom

```
Be2TcRu
1.0
-0.213 0.240 -4.941
-0.418 -3.947 2.056
-2.546 -0.509 -0.419
Ru Tc Be
1 1 2
Cartesian
-1.482 -2.228 0.819
-0.316 -1.853 -1.443
0.000 0.000 0.000
-1.380 -0.135 -2.680
```


19.
Below is a geometry-optimized Be2TcRu structure, with properties calculated at the GGA-PBE level.

size of the total moment: 0.00 μB/cell
E_tot: -6.712 eV per atom

```
Be2TcRu
1.0
7.824 0.009 0.005
7.364 2.644 0.005
7.364 1.286 2.310
Ru Tc Be
1 1 2
Cartesian
5.638 0.985 0.580
16.915 2.954 1.740
22.499 3.930 2.315
11.330 1.979 1.166
```


20.
Below is a geometry-optimized Be2TcRu structure, with properties calculated at the GGA-PBE level.

size of the total moment: 0.00 μB/cell
E_tot: -6.520 eV per atom

```
Be2TcRu
1.0
-0.299 5.541 2.389
0.397 -2.369 5.543
2.617 1.770 3.861
Ru Tc Be
2 2 4
Cartesian
0.000 0.000 0.000
1.184 4.448 5.108
0.049 1.586 3.966
1.532 0.494 6.685
0.515 3.644 3.166
0.867 -0.380 4.714
1.997 2.532 5.836
2.051 4.088 9.871
```